Compound: NaTh2Pd9
Source: Alexandria
Functional: GGA-PBE
Structure: optimized geometry

Geometry as CIF:
```
data_NaTh2Pd9
_space_group_name_H-M_alt 'P 4/m m m'
_space_group_IT_number 123
_space_group_name_Hall '-P 4 2'
_cell_length_a 4.206
_cell_length_b 4.206
_cell_length_c 12.232
_cell_angle_alpha 90.00
_cell_angle_beta 90.00
_cell_angle_gamma 90.00
loop_
_atom_site_label
_atom_site_fract_x
_atom_site_fract_y
_atom_site_fract_z
Na1 0.000 0.000 0.000
Th1 0.000 0.000 0.323
Pd1 0.000 0.500 0.163
Pd2 0.000 0.500 0.500
Pd3 0.500 0.500 0.000
Pd4 0.500 0.500 0.333
```

Properties
M_tot: 0.00 μB/f.u.
Energy: -71.09 eV per cell
Formation energy: -0.683 eV per atom
Crystal system: tetragonal